PrHoCBr | PBE | relaxed

a = 3.736 Å, b = 3.736 Å, c = 22.070 Å
α = 90.00°, β = 90.00°, γ = 120.00°
Fractional positions:
Pr 0.000 0.000 0.000
Pr 0.333 0.667 0.667
Pr 0.667 0.333 0.333
Ho 0.000 0.000 0.788
Ho 0.333 0.667 0.454
Ho 0.667 0.333 0.121
C 0.000 0.000 0.401
C 0.333 0.667 0.068
C 0.667 0.333 0.734
Br 0.000 0.000 0.221
Br 0.333 0.667 0.887
Br 0.667 0.333 0.554

Properties
Crystal system: trigonal
Space group: R3m
Total magnetic moment (μB per formula unit): 0.0
Raw formation energy (eV per formula unit): -3.63

=====

Ho6C3S2Br | PBE | relaxed

a = 8.584 Å, b = 8.584 Å, c = 7.761 Å
α = 106.71°, β = 106.71°, γ = 24.86°
Fractional positions:
Ho 0.011 0.011 0.213
Ho 0.319 0.319 0.438
Ho 0.340 0.340 0.896
Ho 0.660 0.660 0.104
Ho 0.681 0.681 0.562
Ho 0.989 0.989 0.787
C 0.167 0.167 0.333
C 0.500 0.500 0.000
C 0.833 0.833 0.667
S 0.164 0.164 0.828
S 0.836 0.836 0.172
Br 0.500 0.500 0.500

Properties
Crystal system: monoclinic
Space group: C2/m
Total magnetic moment (μB per formula unit): 0.0
Raw formation energy (eV per formula unit): -14.30

=====

Ho4CSe2Br | PBE | relaxed

a = 6.824 Å, b = 3.861 Å, c = 7.098 Å
α = 90.00°, β = 108.28°, γ = 90.00°
Fractional positions:
Ho 0.209 0.000 0.200
Ho 0.231 0.500 0.794
Ho 0.769 0.500 0.206
Ho 0.791 0.000 0.800
C 0.000 0.500 0.000
Se 0.500 0.000 0.000
Se 0.500 0.500 0.500
Br 0.000 0.000 0.500

Properties
Crystal system: monoclinic
Space group: P2/m
Total magnetic moment (μB per formula unit): 0.0
Raw formation energy (eV per formula unit): -10.03

=====

Sm2HoC2Br2 | PBE | relaxed

a = 4.518 Å, b = 4.518 Å, c = 15.389 Å
α = 90.00°, β = 90.00°, γ = 90.00°
Fractional positions:
Sm 0.000 0.000 0.099
Sm 0.000 0.000 0.901
Sm 0.500 0.500 0.401
Sm 0.500 0.500 0.599
Ho 0.000 0.000 0.500
Ho 0.500 0.500 0.000
C 0.000 0.500 0.000
C 0.000 0.500 0.500
C 0.500 0.000 0.000
C 0.500 0.000 0.500
Br 0.000 0.000 0.308
Br 0.000 0.000 0.692
Br 0.500 0.500 0.192
Br 0.500 0.500 0.808

Properties
Crystal system: tetragonal
Space group: I4/mmm
Total magnetic moment (μB per formula unit): 0.0
Raw formation energy (eV per formula unit): -4.46

=====

TbHoCBr | PBE | relaxed

a = 3.676 Å, b = 3.676 Å, c = 21.402 Å
α = 90.00°, β = 90.00°, γ = 120.00°
Fractional positions:
Tb 0.000 0.000 0.000
Tb 0.333 0.667 0.667
Tb 0.667 0.333 0.333
Ho 0.000 0.000 0.786
Ho 0.333 0.667 0.453
Ho 0.667 0.333 0.120
C 0.000 0.000 0.396
C 0.333 0.667 0.063
C 0.667 0.333 0.730
Br 0.000 0.000 0.225
Br 0.333 0.667 0.892
Br 0.667 0.333 0.558

Properties
Crystal system: trigonal
Space group: R3m
Total magnetic moment (μB per formula unit): 0.0
Raw formation energy (eV per formula unit): -3.79

=====

HoTmCBr | PBE | relaxed

a = 3.644 Å, b = 3.644 Å, c = 21.129 Å
α = 90.00°, β = 90.00°, γ = 120.00°
Fractional positions:
Ho 0.000 0.000 0.000
Ho 0.333 0.667 0.667
Ho 0.667 0.333 0.333
Tm 0.000 0.000 0.786
Tm 0.333 0.667 0.452
Tm 0.667 0.333 0.119
C 0.000 0.000 0.396
C 0.333 0.667 0.063
C 0.667 0.333 0.729
Br 0.000 0.000 0.225
Br 0.333 0.667 0.891
Br 0.667 0.333 0.558

Properties
Crystal system: trigonal
Space group: R3m
Total magnetic moment (μB per formula unit): 0.0
Raw formation energy (eV per formula unit): -3.80

=====

La4CI2Br | PBE | relaxed

a = 7.692 Å, b = 4.080 Å, c = 8.107 Å
α = 90.00°, β = 106.22°, γ = 90.00°
Fractional positions:
La 0.189 0.000 0.181
La 0.212 0.500 0.809
La 0.788 0.500 0.191
La 0.811 0.000 0.819
C 0.000 0.500 0.000
I 0.000 0.000 0.500
I 0.500 0.500 0.500
Br 0.500 0.000 0.000

Properties
Crystal system: monoclinic
Space group: P2/m
Total magnetic moment (μB per formula unit): 0.0
Raw formation energy (eV per formula unit): -7.51

=====

Nd4CI2Br | PBE | relaxed

a = 7.655 Å, b = 3.990 Å, c = 8.016 Å
α = 90.00°, β = 106.39°, γ = 90.00°
Fractional positions:
Nd 0.185 0.000 0.179
Nd 0.206 0.500 0.813
Nd 0.794 0.500 0.187
Nd 0.815 0.000 0.821
C 0.000 0.500 0.000
I 0.000 0.000 0.500
I 0.500 0.500 0.500
Br 0.500 0.000 0.000

Properties
Crystal system: monoclinic
Space group: P2/m
Total magnetic moment (μB per formula unit): 0.0
Raw formation energy (eV per formula unit): -6.72

=====

OsCI2Br | PBE | relaxed

a = 5.435 Å, b = 5.435 Å, c = 5.004 Å
α = 90.00°, β = 90.00°, γ = 90.00°
Fractional positions:
Os 0.000 0.000 0.000
C 0.500 0.500 0.500
I 0.000 0.500 0.000
I 0.500 0.000 0.000
Br 0.000 0.000 0.500

Properties
Crystal system: tetragonal
Space group: P4/mmm
Total magnetic moment (μB per formula unit): 0.1
Raw formation energy (eV per formula unit): 9.47

=====

Pm4CI2Br | PBE | relaxed

a = 7.603 Å, b = 3.959 Å, c = 7.960 Å
α = 90.00°, β = 106.49°, γ = 90.00°
Fractional positions:
Pm 0.184 0.000 0.179
Pm 0.205 0.500 0.814
Pm 0.795 0.500 0.186
Pm 0.816 0.000 0.821
C 0.000 0.500 0.000
I 0.000 0.000 0.500
I 0.500 0.500 0.500
Br 0.500 0.000 0.000

Properties
Crystal system: monoclinic
Space group: P2/m
Total magnetic moment (μB per formula unit): 0.0
Raw formation energy (eV per formula unit): -6.69

=====

Pr4CI2Br | PBE | relaxed

a = 7.705 Å, b = 4.021 Å, c = 8.072 Å
α = 90.00°, β = 106.27°, γ = 90.00°
Fractional positions:
Pr 0.186 0.000 0.180
Pr 0.207 0.500 0.812
Pr 0.793 0.500 0.188
Pr 0.814 0.000 0.820
C 0.000 0.500 0.000
I 0.000 0.000 0.500
I 0.500 0.500 0.500
Br 0.500 0.000 0.000

Properties
Crystal system: monoclinic
Space group: P2/m
Total magnetic moment (μB per formula unit): 0.0
Raw formation energy (eV per formula unit): -6.76

=====

Rb2CI6Br | PBE | relaxed

a = 8.650 Å, b = 8.650 Å, c = 8.650 Å
α = 127.16°, β = 127.16°, γ = 78.00°
Fractional positions:
Rb 0.250 0.750 0.500
Rb 0.750 0.250 0.500
C 0.000 0.000 0.000
I 0.211 0.211 0.000
I 0.229 0.229 0.459
I 0.229 0.771 0.000
I 0.771 0.229 0.000
I 0.771 0.771 0.541
I 0.789 0.789 0.000
Br 0.500 0.500 0.000

Properties
Crystal system: tetragonal
Space group: I4/mmm
Total magnetic moment (μB per formula unit): 0.0
Raw formation energy (eV per formula unit): -0.49